Record 1
Here is CaPtSe2O8 after structural relaxation from Alexandria. Energies are from PBE.

Lattice parameters (Å, degrees): 5.823 5.823 6.540 90.00 90.00 120.00
Fractional coordinates of all 12 atoms:
O  0.298  0.149  0.207
O  0.851  0.149  0.207
O  0.702  0.851  0.793
O  0.667  0.333  0.486
O  0.149  0.851  0.793
O  0.851  0.702  0.207
O  0.333  0.667  0.514
O  0.149  0.298  0.793
Pt  0.000  0.000  0.000
Se  0.333  0.667  0.765
Se  0.667  0.333  0.235
Ca  0.000  0.000  0.500

Summary:
M_tot = 0.00 μB per formula unit
energy relative to the elements, uncorrected = -0.8469 eV per atom
volume = 192 Å³ per cell
SG = P-3m1, No. 164

***

Record 2
Here is BaSc2Rh after structural relaxation from Alexandria. Energies are from PBE.

Lattice parameters (Å, degrees): 5.065 5.065 5.065 60.00 60.00 60.00
Fractional coordinates of all 4 atoms:
Ba  0.500  0.500  0.500
Sc  0.250  0.250  0.250
Sc  0.750  0.750  0.750
Rh  0.000  0.000  0.000

Summary:
M_tot = 0.00 μB per formula unit
volume = 92 Å³ per cell
ΔH_f (0 K) = 0.46 eV/f.u.
SG = Fm-3m, No. 225

***

Record 3
Here is InGeRu after structural relaxation from Alexandria. Energies are from PBE.

Lattice parameters (Å, degrees): 3.262 7.155 5.237 108.39 108.14 90.00
Fractional coordinates of all 6 atoms:
Ge  0.637  0.484  0.274
Ge  0.363  0.516  0.726
In  0.614  0.883  0.228
In  0.386  0.117  0.772
Ru  0.132  0.216  0.264
Ru  0.868  0.784  0.736

Summary:
M_tot = 0.00 μB per formula unit
volume = 110 Å³ per cell
ΔH_f (0 K) = -0.13 eV/f.u.
SG = C2/m, No. 12